[1]
Computed, not measured: an optimized crystal structure of AcHf2PbO8 at the PBE level of DFT.

Cell: 5.092 5.092 6.939 Å, 90.00 90.00 91.17°
Fractional positions:
1 Ac 0.000 0.000 0.000
2 Hf 0.500 0.500 0.265
3 Hf 0.500 0.500 0.735
4 Pb 0.000 0.000 0.500
5 O 0.212 0.212 0.276
6 O 0.212 0.212 0.724
7 O 0.316 0.684 0.500
8 O 0.337 0.663 0.000
9 O 0.663 0.337 0.000
10 O 0.684 0.316 0.500
11 O 0.788 0.788 0.276
12 O 0.788 0.788 0.724

Output
Formation energy without anion corrections: -2.53 eV/atom
Total energy: -8.14 eV per atom

[2]
Computed, not measured: an optimized crystal structure of Ac2HfPdO6 at the PBE level of DFT.

Cell: 5.559 9.248 5.953 Å, 90.00 90.00 90.00°
Fractional positions:
1 Ac 0.250 0.032 0.237
2 Ac 0.250 0.468 0.237
3 Ac 0.750 0.532 0.763
4 Ac 0.750 0.968 0.763
5 Hf 0.250 0.250 0.787
6 Hf 0.750 0.750 0.213
7 Pd 0.250 0.750 0.693
8 Pd 0.750 0.250 0.307
9 O 0.002 0.750 0.451
10 O 0.018 0.250 0.074
11 O 0.250 0.029 0.835
12 O 0.250 0.471 0.835
13 O 0.482 0.250 0.074
14 O 0.498 0.750 0.451
15 O 0.501 0.250 0.549
16 O 0.518 0.750 0.926
17 O 0.750 0.529 0.165
18 O 0.750 0.971 0.165
19 O 0.982 0.750 0.926
20 O 0.998 0.250 0.549

Output
Formation energy without anion corrections: -2.66 eV/atom
Total energy: -7.97 eV per atom

[3]
Computed, not measured: an optimized crystal structure of AcHfPdO6 at the PBE level of DFT.

Cell: 5.067 5.067 10.111 Å, 90.00 90.00 90.00°
Fractional positions:
1 Ac 0.000 0.000 0.000
2 Ac 0.500 0.500 0.500
3 Hf 0.000 0.000 0.658
4 Hf 0.500 0.500 0.158
5 Pd 0.000 0.000 0.325
6 Pd 0.500 0.500 0.825
7 O 0.168 0.168 0.487
8 O 0.214 0.214 0.187
9 O 0.219 0.219 0.800
10 O 0.281 0.719 0.300
11 O 0.286 0.714 0.687
12 O 0.332 0.668 0.987
13 O 0.668 0.332 0.987
14 O 0.714 0.286 0.687
15 O 0.719 0.281 0.300
16 O 0.781 0.781 0.800
17 O 0.786 0.786 0.187
18 O 0.832 0.832 0.487

Output
Formation energy without anion corrections: -2.03 eV/atom
Total energy: -7.47 eV per atom

[4]
Computed, not measured: an optimized crystal structure of Ac2PmHfO6 at the PBE level of DFT.

Cell: 6.043 6.150 10.439 Å, 90.00 124.54 90.00°
Fractional positions:
1 Ac 0.240 0.056 0.245
2 Ac 0.240 0.444 0.745
3 Ac 0.760 0.556 0.255
4 Ac 0.760 0.944 0.755
5 Pm 0.500 0.000 0.000
6 Pm 0.500 0.500 0.500
7 Hf 0.000 0.000 0.500
8 Hf 0.000 0.500 0.000
9 O 0.117 0.208 0.947
10 O 0.117 0.292 0.447
11 O 0.237 0.683 0.945
12 O 0.237 0.817 0.445
13 O 0.336 0.042 0.732
14 O 0.336 0.458 0.232
15 O 0.664 0.542 0.768
16 O 0.664 0.958 0.268
17 O 0.763 0.183 0.555
18 O 0.763 0.317 0.055
19 O 0.883 0.708 0.553
20 O 0.883 0.792 0.053

Output
Formation energy without anion corrections: -3.24 eV/atom
Total energy: -8.51 eV per atom

[5]
Computed, not measured: an optimized crystal structure of AcPr2HfO6 at the PBE level of DFT.

Cell: 5.626 5.626 5.684 Å, 90.00 90.00 90.00°
Fractional positions:
1 Ac 0.000 0.000 0.000
2 Pr 0.000 0.500 0.455
3 Pr 0.500 0.000 0.455
4 Hf 0.500 0.500 0.066
5 O 0.000 0.000 0.587
6 O 0.266 0.266 0.220
7 O 0.266 0.734 0.220
8 O 0.500 0.500 0.719
9 O 0.734 0.266 0.220
10 O 0.734 0.734 0.220

Output
Formation energy without anion corrections: -3.09 eV/atom
Total energy: -8.43 eV per atom

[6]
Computed, not measured: an optimized crystal structure of Ac2HfPt3O12 at the PBE level of DFT.

Cell: 7.472 7.472 7.472 Å, 57.86 57.86 57.86°
Fractional positions:
1 Ac 0.192 0.192 0.192
2 Ac 0.808 0.808 0.808
3 Hf 0.500 0.500 0.500
4 Pt 0.000 0.500 0.500
5 Pt 0.500 0.000 0.500
6 Pt 0.500 0.500 0.000
7 O 0.161 0.581 0.581
8 O 0.170 0.170 0.558
9 O 0.170 0.558 0.170
10 O 0.419 0.419 0.839
11 O 0.419 0.839 0.419
12 O 0.442 0.830 0.830
13 O 0.558 0.170 0.170
14 O 0.581 0.161 0.581
15 O 0.581 0.581 0.161
16 O 0.830 0.442 0.830
17 O 0.830 0.830 0.442
18 O 0.839 0.419 0.419

Output
Formation energy without anion corrections: -1.69 eV/atom
Total energy: -7.01 eV per atom

[7]
Computed, not measured: an optimized crystal structure of AcPuHfO6 at the PBE level of DFT.

Cell: 5.663 5.663 10.503 Å, 90.00 90.00 120.00°
Fractional positions:
1 Ac 0.000 0.000 0.000
2 Ac 0.000 0.000 0.500
3 Pu 0.333 0.667 0.250
4 Pu 0.667 0.333 0.750
5 Hf 0.333 0.667 0.750
6 Hf 0.667 0.333 0.250
7 O 0.006 0.370 0.643
8 O 0.006 0.637 0.857
9 O 0.363 0.370 0.857
10 O 0.363 0.994 0.643
11 O 0.370 0.006 0.143
12 O 0.370 0.363 0.357
13 O 0.630 0.637 0.643
14 O 0.630 0.994 0.857
15 O 0.637 0.006 0.357
16 O 0.637 0.630 0.143
17 O 0.994 0.363 0.143
18 O 0.994 0.630 0.357

Output
Formation energy without anion corrections: -3.22 eV/atom
Total energy: -9.69 eV per atom

[8]
Computed, not measured: an optimized crystal structure of Rb3Ac2HfO6 at the PBE level of DFT.

Cell: 6.441 6.441 7.093 Å, 98.26 98.26 120.25°
Fractional positions:
1 Rb 0.000 0.000 0.000
2 Rb 0.344 0.656 0.000
3 Rb 0.656 0.344 0.000
4 Ac 0.167 0.833 0.500
5 Ac 0.833 0.167 0.500
6 Hf 0.500 0.500 0.500
7 O 0.161 0.447 0.338
8 O 0.267 0.267 0.666
9 O 0.447 0.161 0.338
10 O 0.553 0.839 0.662
11 O 0.733 0.733 0.334
12 O 0.839 0.553 0.662

Output
Formation energy without anion corrections: -2.48 eV/atom
Total energy: -6.72 eV per atom